Record 1
Ba2GaPbI, optimized geometry, DFT PBE-GGA; formation energy without anion corrections = 2.72 eV/f.u.
1.0
-6.869 -1.833 -5.037
-2.353 -3.852 4.611
-4.316 6.745 3.432
Ga Ba Pb I
1 2 1 1
Direct
0.500 0.500 0.500 Ga
0.000 0.000 0.500 Ba
0.500 0.000 0.000 Ba
0.000 0.000 0.000 Pb
0.000 0.500 0.000 I

***

Record 2
Ba2GaPdI, optimized geometry, DFT PBE-GGA; formation energy without anion corrections = -4.00 eV/f.u.
1.0
6.310 0.000 0.000
0.000 6.310 0.000
0.000 0.000 4.799
Ga Ba Pd I
1 2 1 1
Direct
0.000 0.000 0.500 Ga
0.000 0.500 0.000 Ba
0.500 0.000 0.000 Ba
0.000 0.000 0.000 Pd
0.500 0.500 0.500 I

***

Record 3
BaGa2PtI, optimized geometry, DFT PBE-GGA; formation energy without anion corrections = -4.01 eV/f.u.
1.0
4.891 0.000 0.000
0.000 4.891 0.000
0.000 0.000 6.603
Ga Ba Pt I
2 1 1 1
Direct
0.000 0.500 0.000 Ga
0.500 0.000 0.000 Ga
0.000 0.000 0.500 Ba
0.000 0.000 0.000 Pt
0.500 0.500 0.500 I

***

Record 4
RbBaGa2I, optimized geometry, DFT PBE-GGA; formation energy without anion corrections = -0.12 eV/f.u.
1.0
-1.816 0.903 -6.028
3.471 -5.017 -1.797
-5.347 -4.059 1.003
Ga Ba Rb I
2 1 1 1
Direct
0.000 0.500 0.000 Ga
0.500 0.000 0.000 Ga
0.000 0.000 0.000 Ba
0.500 0.500 0.500 Rb
0.000 0.000 0.500 I

***

Record 5
Rb2BaGaI5, optimized geometry, DFT PBE-GGA; formation energy without anion corrections = -11.78 eV/f.u.
1.0
5.176 0.000 0.000
-2.588 10.678 0.000
0.000 0.000 16.506
I Ga Ba Rb
10 2 2 4
Direct
0.067 0.134 0.064 I
0.502 0.005 0.268 I
0.265 0.530 0.670 I
0.618 0.235 0.492 I
0.933 0.866 0.564 I
0.498 0.995 0.768 I
0.304 0.608 0.390 I
0.382 0.765 0.992 I
0.696 0.392 0.890 I
0.735 0.470 0.170 I
0.542 0.084 0.950 Ga
0.458 0.916 0.450 Ga
0.223 0.447 0.025 Ba
0.777 0.553 0.525 Ba
0.089 0.178 0.662 Rb
0.911 0.822 0.162 Rb
0.873 0.746 0.802 Rb
0.127 0.254 0.302 Rb

***

Record 6
BaGaTeI2, optimized geometry, DFT PBE-GGA; distance to the lowest polymorph of the same formula = 385 meV per atom; formation energy without anion corrections = -2.45 eV/f.u.
1.0
-1.786 -1.769 -6.202
3.284 -5.788 0.705
-5.599 -2.880 2.433
I Ga Ba Te
2 1 1 1
Direct
0.500 0.000 0.000 I
0.000 0.500 0.000 I
0.500 0.500 0.500 Ga
0.000 0.000 0.000 Ba
0.000 0.000 0.500 Te

***

Record 7
BaGaTeI2, optimized geometry, DFT PBE-GGA; distance to the lowest polymorph of the same formula = 0 meV per atom; formation energy without anion corrections = -4.37 eV/f.u.
1.0
-0.377 2.848 -5.068
4.457 -3.119 -2.084
-3.577 -3.846 -1.895
Te I Ga Ba
1 2 1 1
Direct
0.000 0.000 0.500 Te
0.000 0.500 0.000 I
0.500 0.000 0.000 I
0.000 0.000 0.000 Ga
0.500 0.500 0.500 Ba

***

Record 8
BaUGa2I8, optimized geometry, DFT PBE-GGA; formation energy without anion corrections = -10.43 eV/f.u.
1.0
-0.432 7.840 -1.036
-7.374 -0.675 -1.083
-1.527 1.179 9.595
I Ga U Ba
8 2 1 1
Direct
0.151 0.760 0.220 I
0.354 0.272 0.500 I
0.646 0.728 0.500 I
0.152 0.761 0.780 I
0.689 0.772 0.000 I
0.849 0.240 0.780 I
0.311 0.228 0.000 I
0.848 0.239 0.220 I
0.500 0.501 0.262 Ga
0.500 0.499 0.738 Ga
0.000 0.000 0.000 U
0.000 0.000 0.500 Ba

***

Record 9
BaGaWI2, optimized geometry, DFT PBE-GGA; formation energy without anion corrections = 5.01 eV/f.u.
1.0
5.777 0.000 0.000
0.000 6.308 0.000
0.000 0.000 5.777
Ga I W Ba
1 2 1 1
Direct
0.000 0.000 0.000 Ga
0.000 0.000 0.500 I
0.500 0.000 0.000 I
0.500 0.500 0.500 W
0.000 0.500 0.000 Ba

***

Record 10
Ba2ZrGaI, optimized geometry, DFT PBE-GGA; formation energy without anion corrections = 1.37 eV/f.u.
1.0
-2.738 5.640 1.644
-3.485 -2.603 3.126
4.091 0.528 5.000
Ba I Zr Ga
2 1 1 1
Direct
0.500 0.000 0.000 Ba
0.000 0.000 0.500 Ba
0.000 0.000 0.000 I
0.000 0.500 0.000 Zr
0.500 0.500 0.500 Ga

***

Record 11
BaIn12Ga4, optimized geometry, DFT PBE-GGA; calculated formation energy = -5 meV per atom
1.0
8.531 0.000 0.000
-2.844 8.043 0.000
-2.844 -4.021 6.965
Ga In Ba
4 12 1
Direct
0.000 0.000 0.500 Ga
0.000 0.500 0.000 Ga
0.500 0.000 0.000 Ga
0.500 0.500 0.500 Ga
0.156 0.650 0.806 In
0.650 0.493 0.844 In
0.350 0.194 0.844 In
0.350 0.507 0.156 In
0.493 0.844 0.650 In
0.844 0.350 0.194 In
0.806 0.156 0.650 In
0.194 0.844 0.350 In
0.844 0.650 0.493 In
0.156 0.350 0.507 In
0.650 0.806 0.156 In
0.507 0.156 0.350 In
0.000 0.000 0.000 Ba

***

Record 12
BaInGa, optimized geometry, DFT PBE-GGA; calculated formation energy = -411 meV per atom
1.0
9.048 0.000 0.057
0.000 6.628 0.000
-2.417 0.000 6.160
Ga In Ba
4 4 4
Direct
0.026 0.901 0.316 Ga
0.474 0.401 0.184 Ga
0.974 0.099 0.684 Ga
0.526 0.599 0.816 Ga
0.789 0.886 0.890 In
0.211 0.114 0.110 In
0.289 0.614 0.390 In
0.711 0.386 0.610 In
0.875 0.383 0.186 Ba
0.375 0.117 0.686 Ba
0.125 0.617 0.814 Ba
0.625 0.883 0.314 Ba

***

no.,D(E_F) (states/eV per cell),uncorrected energy (eV per atom)
1,14.79,-1.8828
2,2.83,-3.5232
3,2.44,-3.9158
4,5.71,-2.1221
5,0.00,-2.9353
6,6.08,-2.7279
7,1.06,-3.1127
8,10.59,-3.5077
9,6.21,-3.1996
10,5.63,-3.1200
11,10.86,-2.7637
12,6.94,-2.9742